Here is a geometry-optimized Ac2Si4Pd3Pt structure from the Alexandria database. Energies are from GGA-PBE.

a b c (Å): 4.380 4.380 10.159
angles (deg): 90.00 90.00 90.00
Sites, in units of the cell vectors:
Ac 0.000 0.500 0.245
Ac 0.500 0.000 0.755
Si 0.000 0.000 0.000
Si 0.000 0.500 0.624
Si 0.500 0.000 0.376
Si 0.500 0.500 0.000
Pd 0.000 0.500 0.878
Pd 0.500 0.000 0.122
Pd 0.500 0.500 0.500
Pt 0.000 0.000 0.500

Values from the calculation:
Total magnetization = 0.0 Bohr magnetons per cell
SG = No. 115
Formation energy (no corrections) = -0.89 eV per atom